Here is a geometry-optimized HoMgAl4Pd2 structure from OQMD via LeMat-Bulk. Energies are from PBE.

a b c (Å): 7.045 5.317 5.317
angles (deg): 46.74 90.00 90.00
Sites, in units of the cell vectors:
Ho: 0.000 0.000 0.000
Mg: 0.500 0.138 0.138
Al: 0.203 0.709 0.709
Al: 0.307 0.424 0.424
Al: 0.693 0.424 0.424
Al: 0.797 0.709 0.709
Pd: 0.000 0.283 0.283
Pd: 0.500 0.860 0.860

Output
The total magnetization is 0.01 Bohr magnetons per cell. The uncorrected energy comes out at -4.601 eV/atom.